Record 1
# Pm4Pb2I | Alexandria via LeMat-Bulk | GGA-PBE | relaxed
# - Spin magnetization: 1.1 μB per cell
# - Raw formation energy: -486 meV/atom
data_Pm4Pb2I
_space_group_name_H-M_alt 'P 1 21/m 1'
_space_group_IT_number 11
_cell_length_a 8.168
_cell_length_b 6.636
_cell_length_c 9.443
_cell_angle_alpha 90.00
_cell_angle_beta 113.07
_cell_angle_gamma 90.00
loop_
_space_group_symop_operation_xyz
'x,y,z'
'-x,-y,-z'
'-x,y+1/2,-z'
'x,-y+1/2,z'
loop_
_atom_site_label
_atom_site_type_symbol
_atom_site_fract_x
_atom_site_fract_y
_atom_site_fract_z
_atom_site_occupancy
Pm1 Pm 0.118 0.250 0.354 1
Pm2 Pm 0.149 0.750 0.097 1
Pm3 Pm 0.316 0.002 0.799 1
Pb1 Pb 0.080 0.750 0.419 1
Pb2 Pb 0.283 0.250 0.090 1
I1 I 0.490 0.250 0.605 1

Record 2
# Pm2PbI | Alexandria via LeMat-Bulk | GGA-PBE | relaxed
# - Spin magnetization: 0.0 μB per cell
# - Raw formation energy: -542 meV/atom
# - Energy relative to the lowest polymorph listed for this composition: 164 meV per atom
data_Pm2PbI
_space_group_name_H-M_alt 'R -3 m'
_space_group_IT_number 166
_space_group_name_Hall '-R 3 2"'
_cell_length_a 4.7526
_cell_length_b 4.7526
_cell_length_c 27.7249
_cell_angle_alpha 90.00
_cell_angle_beta 90.00
_cell_angle_gamma 120.00
loop_
_atom_site_label
_atom_site_type_symbol
_atom_site_fract_x
_atom_site_fract_y
_atom_site_fract_z
_atom_site_occupancy
Pm1 Pm 0.0000 0.0000 0.1117 1
Pb1 Pb 0.0000 0.0000 0.5000 1
I1 I 0.0000 0.0000 0.0000 1

Record 3
# Pm2PbI | Alexandria via LeMat-Bulk | GGA-PBE | relaxed
# - Spin magnetization: 0.0 μB per cell
# - Raw formation energy: -706 meV/atom
# - Energy relative to the lowest polymorph listed for this composition: 0 meV per atom
data_Pm2PbI
_space_group_name_H-M_alt 'R 3 m'
_space_group_IT_number 160
_space_group_name_Hall 'R 3 -2"'
_cell_length_a 4.4926
_cell_length_b 4.4926
_cell_length_c 23.6268
_cell_angle_alpha 90.00
_cell_angle_beta 90.00
_cell_angle_gamma 120.00
loop_
_atom_site_label
_atom_site_type_symbol
_atom_site_fract_x
_atom_site_fract_y
_atom_site_fract_z
_atom_site_occupancy
Pm1 Pm 0.0000 0.0000 0.0000 1
Pm2 Pm 0.0000 0.0000 0.1888 1
Pb1 Pb 0.0000 0.0000 0.5928 1
I1 I 0.0000 0.0000 0.7627 1

Record 4
# Pm2PbI3 | Alexandria via LeMat-Bulk | GGA-PBE | relaxed
# - Spin magnetization: 0.0 μB per cell
# - Raw formation energy: -1001 meV/atom
data_Pm2PbI3
_space_group_name_H-M_alt 'C 1 2/m 1'
_space_group_IT_number 12
_cell_length_a 20.549
_cell_length_b 4.218
_cell_length_c 14.395
_cell_angle_alpha 90.00
_cell_angle_beta 129.20
_cell_angle_gamma 90.00
loop_
_space_group_symop_operation_xyz
'x,y,z'
'-x,-y,-z'
'-x,y,-z'
'x,-y,z'
'x+1/2,y+1/2,z'
'-x+1/2,-y+1/2,-z'
'-x+1/2,y+1/2,-z'
'x+1/2,-y+1/2,z'
loop_
_atom_site_label
_atom_site_type_symbol
_atom_site_fract_x
_atom_site_fract_y
_atom_site_fract_z
_atom_site_occupancy
Pm1 Pm 0.107 0.000 0.423 1
Pm2 Pm 0.126 0.500 0.835 1
Pb1 Pb 0.073 0.000 0.630 1
I1 I 0.046 0.500 0.214 1
I2 I 0.178 0.000 0.039 1
I3 I 0.241 0.500 0.611 1

Record 5
# PmPbI6 | Alexandria via LeMat-Bulk | GGA-PBE | relaxed
# - Spin magnetization: 0.0 μB per cell
# - Raw formation energy: -815 meV/atom
data_PmPbI6
_space_group_name_H-M_alt 'R -3'
_space_group_IT_number 148
_space_group_name_Hall '-R 3'
_cell_length_a 7.7878
_cell_length_b 7.7878
_cell_length_c 20.7803
_cell_angle_alpha 90.00
_cell_angle_beta 90.00
_cell_angle_gamma 120.00
loop_
_atom_site_label
_atom_site_type_symbol
_atom_site_fract_x
_atom_site_fract_y
_atom_site_fract_z
_atom_site_occupancy
Pm1 Pm 0.0000 0.0000 0.0000 1
Pb1 Pb 0.0000 0.0000 0.5000 1
I1 I 0.0085 0.3249 0.7486 1

Record 6
# Pm5Pb4I | Alexandria via LeMat-Bulk | GGA-PBE | relaxed
# - Spin magnetization: 0.0 μB per cell
# - Raw formation energy: -565 meV/atom
data_Pm5Pb4I
_space_group_name_H-M_alt 'P 4/m m m'
_space_group_IT_number 123
_space_group_name_Hall '-P 4 2'
_cell_length_a 3.663
_cell_length_b 3.663
_cell_length_c 22.229
_cell_angle_alpha 90.00
_cell_angle_beta 90.00
_cell_angle_gamma 90.00
loop_
_atom_site_label
_atom_site_type_symbol
_atom_site_fract_x
_atom_site_fract_y
_atom_site_fract_z
_atom_site_occupancy
Pm1 Pm 0.000 0.000 0.000 1
Pm2 Pm 0.000 0.000 0.203 1
Pm3 Pm 0.000 0.000 0.402 1
Pb1 Pb 0.500 0.500 0.102 1
Pb2 Pb 0.500 0.500 0.304 1
I1 I 0.500 0.500 0.500 1

Number 1: uncorrected energy -0.3294 Ry/atom. Number 2: uncorrected energy -0.3110 Ry/atom. Number 3: uncorrected energy -0.3231 Ry/atom. Number 4: uncorrected energy -0.2924 Ry/atom. Number 5: uncorrected energy -0.2231 Ry/atom. Number 6: uncorrected energy -0.3365 Ry/atom.